! Na3YSb, single point on PBEsol structure, DFT meta-GGA SCAN; values from VASP
! Uncorrected energy, eV/atom: -14.48
! Symmetry: Pm-3m (221)
! Energy relative to the elements, uncorrected, meV/atom: 1074.2
! Crystal system: cubic
&SYSTEM
  ibrav = 0, nat = 5, ntyp = 3
/
ATOMIC_SPECIES
Na 22.99 Na.upf
Y 88.91 Y.upf
Sb 121.76 Sb.upf
ATOMIC_POSITIONS angstrom
Na 2.952 0.000 0.000
Na 0.000 2.952 0.000
Na 0.000 0.000 2.952
Y 0.000 0.000 0.000
Sb 2.952 2.952 2.952
CELL_PARAMETERS angstrom
5.905 0.000 0.000
0.000 5.905 0.000
0.000 0.000 5.905